Entry 1:
! PBE CdRe2As, relaxed; values from VASP
&SYSTEM
  ibrav = 0, nat = 4, ntyp = 3
/
ATOMIC_SPECIES
Re 186.21 Re.upf
As 74.92 As.upf
Cd 112.41 Cd.upf
CELL_PARAMETERS angstrom
-2.1528 -0.8737 4.5521
1.9637 -4.2496 -2.6483
2.4934 -0.5009 1.2983
ATOMIC_POSITIONS angstrom
Re 0.0000 0.0000 0.0000
Re 0.1703 -0.6873 2.9252
As 2.2286 -2.3752 -0.6750
Cd -0.0945 -2.5616 0.9519
! Distance to the lowest polymorph of the same formula, eV/atom: 0.638
! Fermi-level density of states, states/eV/f.u.: 3.093
! ρ, g cm⁻³: 14.0
! Symmetry: No. 12
! E_form, eV per atom: 0.836


Entry 2:
! PBE LiAl2Ni, relaxed; values from VASP
&SYSTEM
  ibrav = 0, nat = 4, ntyp = 3
/
ATOMIC_SPECIES
Ni 58.69 Ni.upf
Al 26.98 Al.upf
Li 6.94 Li.upf
CELL_PARAMETERS angstrom
3.0348 0.0000 0.0000
0.0000 4.1179 0.0000
0.0000 0.0000 4.1179
ATOMIC_POSITIONS angstrom
Ni 1.5174 0.0000 0.0000
Al 0.0000 0.0000 2.0590
Al 0.0000 2.0590 0.0000
Li 1.5174 2.0590 2.0590
! Fermi-level density of states, states/eV/f.u.: 0.738
! ρ, g cm⁻³: 3.9
! Symmetry: No. 123
! E_form, eV per atom: -0.368


Entry 3:
! PBE FeReSi, relaxed; values from VASP
&SYSTEM
  ibrav = 0, nat = 3, ntyp = 3
/
ATOMIC_SPECIES
Fe 55.84 Fe.upf
Re 186.21 Re.upf
Si 28.09 Si.upf
CELL_PARAMETERS angstrom
4.9288 0.6083 -0.2924
2.9019 4.0301 0.2924
-3.7671 -2.5696 1.9887
ATOMIC_POSITIONS angstrom
Fe 0.1170 0.0693 0.0000
Re 2.5905 1.5345 0.0000
Si 5.1232 3.0347 0.0000
! ΔE_f (raw), eV/atom: -0.1703
! Fermi-level density of states, states/eV/f.u.: 2.529
! ρ, g cm⁻³: 12.2
! Symmetry: No. 107


Entry 4:
! PBE Li3Cd2In4, relaxed; values from VASP
&SYSTEM
  ibrav = 0, nat = 18, ntyp = 3
/
ATOMIC_SPECIES
Li 6.94 Li.upf
Cd 112.41 Cd.upf
In 114.82 In.upf
CELL_PARAMETERS angstrom
-2.2507 -5.5581 -2.6230
3.6060 -5.4589 5.5042
-4.4984 -3.4645 6.5697
ATOMIC_POSITIONS angstrom
Li -1.6854 -5.0805 -0.0239
Li -2.6147 -12.1830 8.1656
Li -1.4578 -9.4010 9.4749
Li -0.5285 -2.2985 1.2854
Li -0.9975 -5.8636 5.4182
Li -2.1457 -8.6179 4.0328
Cd -3.0447 -5.8893 2.5368
Cd -4.0740 -10.8502 5.9004
Cd -0.0985 -8.5922 6.9142
Cd 0.9307 -3.6313 3.5505
In 1.0948 -7.8006 4.4264
In -0.0456 -10.6006 3.0794
In -4.2380 -6.6809 5.0246
In -3.0976 -3.8810 6.3715
In -1.9013 -3.1672 3.8125
In -2.9083 -8.0210 7.2378
In -1.2419 -11.3143 5.6384
In -0.2349 -6.4605 2.2131
! Distance to the lowest polymorph of the same formula, eV/atom: 0.000
! Fermi-level density of states, states/eV/f.u.: 2.091
! ρ, g cm⁻³: 5.8
! Symmetry: No. 2
! E_form, eV per atom: -0.172


Question: The lowest Fermi-level density of states belongs to which entry?
Answer: LiAl2Ni